Below is an optimized crystal structure of Li2ZrScIn2Ir2, with properties calculated at the PBE-GGA level. Values from VASP.

The structure in Quantum ESPRESSO input format:
```
&SYSTEM
  ibrav = 0, nat = 8, ntyp = 5
/
ATOMIC_SPECIES
Li 6.94 Li.upf
Zr 91.22 Zr.upf
Sc 44.96 Sc.upf
In 114.82 In.upf
Ir 192.22 Ir.upf
CELL_PARAMETERS angstrom
4.6099 0.0000 0.0000
0.0000 4.6099 0.0000
0.0000 0.0000 6.5202
ATOMIC_POSITIONS crystal
Li 0.0000 0.5000 0.2466
Li 0.5000 0.0000 0.7534
Zr 0.0000 0.0000 0.5000
Sc 0.5000 0.5000 0.0000
In 0.0000 0.0000 0.0000
In 0.5000 0.5000 0.5000
Ir 0.0000 0.5000 0.7451
Ir 0.5000 0.0000 0.2549
```

Calculated values
- Spin magnetization: 0.1 Bohr magnetons per cell
- Energy: -5.7917 eV/atom
- Calculated volume: 138.6 Å³ per cell